A plane-wave DFT calculation with PBE was carried out for crystalline BaSc2Zn at its relaxed geometry.

Lattice parameters (Å, degrees): 5.5051 5.5051 6.6370 99.86 99.86 37.36
Positions (direct):
Ba1 0.0000 0.0000 0.0000
Sc1 0.2199 0.2199 0.6330
Sc2 0.4790 0.4790 0.4792
Zn1 0.7464 0.7464 0.3172

Output
- Energy relative to the elements: 0.19 eV/atom
- DFT total energy: -15.1 eV/cell
- Symmetry: Cm (8)
- Crystal system: monoclinic

=====

A plane-wave DFT calculation with PBE was carried out for crystalline KCaMgHg2 at its relaxed geometry.

Lattice parameters (Å, degrees): 5.5676 5.5676 5.9197 90.00 90.00 90.00
Positions (direct):
K1 0.0000 0.0000 0.0000
Ca1 0.5000 0.5000 0.0000
Mg1 0.5000 0.5000 0.5000
Hg1 0.0000 0.5000 0.5000
Hg2 0.5000 0.0000 0.5000

Output
- Energy relative to the elements: 0.06 eV/atom
- DFT total energy: -5.0 eV/cell
- Symmetry: P4/mmm (123)
- Crystal system: tetragonal

=====

A plane-wave DFT calculation with PBE was carried out for crystalline Pr6HoTm12 at its relaxed geometry.

Lattice parameters (Å, degrees): 8.7037 8.7037 8.7037 98.72 98.72 98.72
Positions (direct):
Pr1 0.1559 0.5986 0.5986
Pr2 0.4014 0.4014 0.8441
Pr3 0.4014 0.8441 0.4014
Pr4 0.5986 0.1559 0.5986
Pr5 0.5986 0.5986 0.1559
Pr6 0.8441 0.4014 0.4014
Ho1 0.5000 0.5000 0.5000
Tm1 0.0000 0.2550 0.7450
Tm2 0.0000 0.7450 0.2550
Tm3 0.1452 0.1452 0.4195
Tm4 0.1452 0.4195 0.1452
Tm5 0.2550 0.0000 0.7450
Tm6 0.2550 0.7450 0.0000
Tm7 0.4195 0.1452 0.1452
Tm8 0.5805 0.8548 0.8548
Tm9 0.7450 0.0000 0.2550
Tm10 0.7450 0.2550 0.0000
Tm11 0.8548 0.5805 0.8548
Tm12 0.8548 0.8548 0.5805

Output
- E above lowest polymorph: 95 meV per atom
- Energy relative to the elements: 0.22 eV/atom
- DFT total energy: -82.6 eV/cell
- Symmetry: R-3m (166)
- Crystal system: trigonal

=====

A plane-wave DFT calculation with PBE was carried out for crystalline FeP2Br at its relaxed geometry.

Lattice parameters (Å, degrees): 4.1332 3.2434 7.4473 90.00 101.16 90.00
Positions (direct):
Fe1 0.0000 0.0000 0.0000
P1 0.4504 0.0000 0.8577
P2 0.7107 0.5000 0.7477
Br1 0.0614 0.5000 0.2478

Output
- E above lowest polymorph: 0 meV per atom
- DFT total energy: -21.3 eV/cell
- Formation energy without anion corrections: -0.371 eV per formula unit
- Symmetry: Pm (6)
- Crystal system: monoclinic

=====

A plane-wave DFT calculation with PBE was carried out for crystalline Tb2SiPt at its relaxed geometry.

Lattice parameters (Å, degrees): 5.7913 4.2492 7.9179 90.00 110.55 90.00
Positions (direct):
Tb1 0.2167 0.2500 0.4391
Tb2 0.2204 0.2500 0.9163
Tb3 0.7796 0.7500 0.0837
Tb4 0.7833 0.7500 0.5609
Si1 0.3371 0.7500 0.2087
Si2 0.6629 0.2500 0.7913
Pt1 0.3581 0.7500 0.7137
Pt2 0.6419 0.2500 0.2863

Output
- DFT total energy: -49.6 eV/cell
- Formation energy without anion corrections: -4.088 eV per formula unit
- Symmetry: P2_1/m (11)
- Crystal system: monoclinic

=====

A plane-wave DFT calculation with PBE was carried out for crystalline FeCl4 at its relaxed geometry.

Lattice parameters (Å, degrees): 6.2268 6.2268 3.4259 90.00 90.00 98.23
Positions (direct):
Fe1 0.0000 0.0000 0.0000
Cl1 0.1631 0.8369 0.5000
Cl2 0.2662 0.2662 0.0000
Cl3 0.7338 0.7338 0.0000
Cl4 0.8369 0.1631 0.5000

Output
- DFT total energy: -18.3 eV/cell
- Formation energy without anion corrections: -2.496 eV per formula unit
- Symmetry: Cmmm (65)
- Crystal system: orthorhombic

=====

A plane-wave DFT calculation with PBE was carried out for crystalline SrNdGeN3 at its relaxed geometry.

Lattice parameters (Å, degrees): 6.0324 3.5508 8.4892 90.00 101.14 90.00
Positions (direct):
Sr1 0.1584 0.2500 0.1758
Sr2 0.8416 0.7500 0.8242
Nd1 0.2583 0.7500 0.5458
Nd2 0.7417 0.2500 0.4542
Ge1 0.3694 0.2500 0.8487
Ge2 0.6306 0.7500 0.1513
N1 0.0685 0.2500 0.6804
N2 0.3250 0.7500 0.9548
N3 0.4615 0.7500 0.3210
N4 0.5385 0.2500 0.6790
N5 0.6750 0.2500 0.0452
N6 0.9315 0.7500 0.3196

Output
- DFT total energy: -80.0 eV/cell
- Formation energy without anion corrections: -3.943 eV per formula unit
- Symmetry: P2_1/m (11)
- Crystal system: monoclinic

=====

A plane-wave DFT calculation with PBE was carried out for crystalline Zr2InCuH at its relaxed geometry.

Lattice parameters (Å, degrees): 4.3890 4.3890 4.1920 90.00 90.00 90.00
Positions (direct):
Zr1 0.0000 0.5000 0.0000
Zr2 0.5000 0.0000 0.0000
In1 0.0000 0.0000 0.5000
Cu1 0.5000 0.5000 0.5000
H1 0.5000 0.5000 0.0000

Output
- DFT total energy: -28.6 eV/cell
- Symmetry: P4/mmm (123)
- Crystal system: tetragonal

=====

no.,density (g/cm³)
1,4.05
2,4.57
3,7.96
4,3.35
5,9.85
6,2.50
7,6.45
8,7.44